Below is a relaxed structure of ZrCrSe, with properties calculated at the PBEsol level.

Cell and atoms, written as extended XYZ:
```
3
Lattice="3.3597 0.0000 0.0000 0.0000 3.3597 0.0000 -1.6798 -1.6798 4.5908" Properties=species:S:1:pos:R:3 pbc="T T T"
Zr 0.0000 0.0000 3.0499
Cr 0.0000 0.0000 0.0651
Se 1.6799 1.6799 1.4759
```

Summary:
**ΔE_f (raw)**: -202 meV/atom
**Crystal system**: tetragonal
**D(E_F)**: 2.8 states/eV per cell
**Mass density**: 7.120 g/cm3

---

Below is a relaxed structure of Cr3Si, with properties calculated at the PBEsol level.

Cell and atoms, written as extended XYZ:
```
4
Lattice="2.4975 0.0033 0.0000 -0.7981 2.3666 0.0000 0.0000 0.0000 7.6749" Properties=species:S:1:pos:R:3 pbc="T T T"
Cr 0.0000 0.0000 1.9297
Cr 0.0000 0.0000 5.7452
Si 0.8497 1.1849 3.8374
Cr 0.8497 1.1849 0.0000
```

Summary:
**ΔE_f (raw)**: -36 meV/atom
**Crystal system**: orthorhombic
**D(E_F)**: 3.0 states/eV per cell
**Mass density**: 6.735 g/cm3
**Distance to the lowest polymorph of the same formula**: 365.2 meV per atom

---

Below is a relaxed structure of Cr2Si3, with properties calculated at the PBEsol level.

Cell and atoms, written as extended XYZ:
```
10
Lattice="4.4590 0.0000 0.0000 2.2295 4.0818 0.0000 2.2295 0.0000 6.6395" Properties=species:S:1:pos:R:3 pbc="T T T"
Si 3.3442 2.0409 4.8901
Si 3.3442 2.0409 1.7495
Cr 4.4590 0.0000 2.5001
Cr 5.5737 2.0409 5.8199
Si 4.4590 0.0000 5.0692
Si 5.5737 2.0409 3.3198
Si 0.0000 0.0000 0.0000
Cr 2.2295 0.0000 4.1394
Cr 5.5737 2.0409 0.8197
Si 2.2295 0.0000 1.5703
```

Summary:
**ΔE_f (raw)**: -197 meV/atom
**Crystal system**: orthorhombic
**D(E_F)**: 5.2 states/eV per cell
**Mass density**: 5.174 g/cm3

---

Question: Which value of D(E_F) does entry 2 give?
Answer: 3.0 states/eV per cell

---

Question: What is the mass density in the third record?
Answer: 5.174 g/cm3

---

What did the second record say?
Below is a relaxed structure of Cr3Si, with properties calculated at the PBEsol level.

Cell and atoms, written as extended XYZ:
```
4
Lattice="2.4975 0.0033 0.0000 -0.7981 2.3666 0.0000 0.0000 0.0000 7.6749" Properties=species:S:1:pos:R:3 pbc="T T T"
Cr 0.0000 0.0000 1.9297
Cr 0.0000 0.0000 5.7452
Si 0.8497 1.1849 3.8374
Cr 0.8497 1.1849 0.0000
```

Summary:
**ΔE_f (raw)**: -36 meV/atom
**Crystal system**: orthorhombic
**D(E_F)**: 3.0 states/eV per cell
**Mass density**: 6.735 g/cm3
**Distance to the lowest polymorph of the same formula**: 365.2 meV per atom

---

Question: Which of these has the lowest D(E_F)?
Answer: ZrCrSe